(1)
Density functional theory data (PBE-GGA) for an optimized crystal structure of ScSe.

a b c (Å): 3.3918 3.3918 3.3918
angles (deg): 90.00 90.00 90.00
Positions (direct):
Sc  0.0000  0.0000  0.0000
Se  0.5000  0.5000  0.5000

Summary:
As for the symmetry: Pm-3m, No. 221. The raw total energy comes out at -6.225 eV/atom. The formation energy (no corrections) is -1.32 eV/atom.

(2)
Density functional theory data (PBE-GGA) for an optimized crystal structure of ScSe2.

a b c (Å): 6.4365 6.4365 6.4365
angles (deg): 146.95 107.92 81.61
Positions (direct):
Sc  0.2347  0.0000  0.2347
Sc  0.7653  0.0000  0.7653
Se  0.0489  0.7095  0.3394
Se  0.3701  0.7095  0.6606
Se  0.5063  0.5063  0.0000
Se  0.8828  0.3828  0.5000

Summary:
As for the symmetry: Imm2, No. 44. The raw total energy comes out at -5.739 eV/atom. The formation energy (no corrections) is -1.31 eV/atom.

(3)
Density functional theory data (PBE-GGA) for an optimized crystal structure of ScSe2.

a b c (Å): 6.5893 6.5893 6.5893
angles (deg): 90.00 90.00 90.00
Positions (direct):
Sc  0.0000  0.0000  0.0000
Sc  0.0000  0.5000  0.5000
Sc  0.5000  0.0000  0.5000
Sc  0.5000  0.5000  0.0000
Se  0.1258  0.6258  0.8742
Se  0.1258  0.8742  0.3742
Se  0.3742  0.1258  0.8742
Se  0.3742  0.3742  0.3742
Se  0.6258  0.6258  0.6258
Se  0.6258  0.8742  0.1258
Se  0.8742  0.1258  0.6258
Se  0.8742  0.3742  0.1258

Summary:
As for the symmetry: Pa-3, No. 205. The raw total energy comes out at -5.597 eV/atom. The formation energy (no corrections) is -1.16 eV/atom.

(4)
Density functional theory data (PBE-GGA) for an optimized crystal structure of ScSe.

a b c (Å): 4.8917 4.8917 4.8917
angles (deg): 60.00 60.00 60.00
Positions (direct):
Sc  0.1250  0.1250  0.1250
Sc  0.8750  0.8750  0.8750
Se  0.3750  0.3750  0.3750
Se  0.6250  0.6250  0.6250

Summary:
As for the symmetry: Fd-3m, No. 227. The raw total energy comes out at -5.322 eV/atom. The formation energy (no corrections) is -0.41 eV/atom.

Number 1: D(E_F) 0.504 states/eV per atom. Number 2: D(E_F) 0.046 states/eV per atom. Number 3: D(E_F) 1.282 states/eV per atom. Number 4: D(E_F) 1.617 states/eV per atom.